No. 1
# Zr2FeBi2Pt PBE relaxed
data_Zr2FeBi2Pt
_cell_length_a 6.413
_cell_length_b 6.413
_cell_length_c 12.709
_cell_angle_alpha 90.00
_cell_angle_beta 90.00
_cell_angle_gamma 90.00
_symmetry_space_group_name_H-M 'I -4 2 d'
_symmetry_Int_Tables_number 122
_symmetry_space_group_name_Hall 'I -4 2bw'
loop_
_atom_site_label
_atom_site_fract_x
_atom_site_fract_y
_atom_site_fract_z
Zr1 0.244 0.750 0.125
Fe1 0.000 0.000 0.000
Bi1 0.230 0.250 0.125
Pt1 0.000 0.000 0.500
# DFT total energy = -7.0944 eV per atom
# Magnetization = 0.00 μB/f.u.

No. 2
# ZrFeBiPt PBE relaxed
data_ZrFeBiPt
_cell_length_a 6.660
_cell_length_b 6.660
_cell_length_c 6.660
_cell_angle_alpha 90.00
_cell_angle_beta 90.00
_cell_angle_gamma 90.00
_symmetry_space_group_name_H-M 'F -4 3 m'
_symmetry_Int_Tables_number 216
_symmetry_space_group_name_Hall 'F -4 2 3'
loop_
_atom_site_label
_atom_site_fract_x
_atom_site_fract_y
_atom_site_fract_z
Zr1 0.000 0.000 0.000
Fe1 0.250 0.250 0.750
Bi1 0.000 0.000 0.500
Pt1 0.250 0.250 0.250
# Magnetization = 1.95 μB/f.u.
# Energy above the lowest structure with this stoichiometry = 0.000 eV per atom

No. 3
# RbFe3Bi5 PBE relaxed
data_RbFe3Bi5
_cell_length_a 5.6037
_cell_length_b 5.6037
_cell_length_c 9.2632
_cell_angle_alpha 90.00
_cell_angle_beta 90.00
_cell_angle_gamma 120.00
_symmetry_space_group_name_H-M 'P 6/m m m'
_symmetry_Int_Tables_number 191
_symmetry_space_group_name_Hall '-P 6 2'
loop_
_atom_site_label
_atom_site_fract_x
_atom_site_fract_y
_atom_site_fract_z
Rb1 0.0000 0.0000 0.0000
Fe1 0.0000 0.5000 0.5000
Bi1 0.0000 0.0000 0.5000
Bi2 0.3333 0.6667 0.2501
# DFT total energy = -5.0616 eV per atom
# Magnetization = 7.28 μB/f.u.

No. 4
# RbFeBi PBE relaxed
data_RbFeBi
_cell_length_a 6.960
_cell_length_b 6.960
_cell_length_c 6.960
_cell_angle_alpha 90.00
_cell_angle_beta 90.00
_cell_angle_gamma 90.00
_symmetry_space_group_name_H-M 'F -4 3 m'
_symmetry_Int_Tables_number 216
_symmetry_space_group_name_Hall 'F -4 2 3'
loop_
_atom_site_label
_atom_site_fract_x
_atom_site_fract_y
_atom_site_fract_z
Rb1 0.000 0.000 0.000
Fe1 0.250 0.250 0.750
Bi1 0.000 0.000 0.500
# DFT total energy = -3.6890 eV per atom
# Magnetization = 3.53 μB/f.u.

No. 5
# RbFeBi PBE relaxed
data_RbFeBi
_cell_length_a 7.732
_cell_length_b 7.732
_cell_length_c 7.732
_cell_angle_alpha 90.00
_cell_angle_beta 90.00
_cell_angle_gamma 90.00
_symmetry_space_group_name_H-M 'F -4 3 m'
_symmetry_Int_Tables_number 216
_symmetry_space_group_name_Hall 'F -4 2 3'
loop_
_atom_site_label
_atom_site_fract_x
_atom_site_fract_y
_atom_site_fract_z
Rb1 0.000 0.000 0.000
Fe1 0.250 0.250 0.250
Bi1 0.250 0.250 0.750
# DFT total energy = -3.0529 eV per atom
# Magnetization = 4.16 μB/f.u.

No. 6
# FeRe2Bi PBE relaxed
data_FeRe2Bi
_cell_length_a 6.368
_cell_length_b 6.368
_cell_length_c 6.368
_cell_angle_alpha 90.00
_cell_angle_beta 90.00
_cell_angle_gamma 90.00
_symmetry_space_group_name_H-M 'F -4 3 m'
_symmetry_Int_Tables_number 216
_symmetry_space_group_name_Hall 'F -4 2 3'
loop_
_atom_site_label
_atom_site_fract_x
_atom_site_fract_y
_atom_site_fract_z
Fe1 0.000 0.000 0.000
Re1 0.000 0.000 0.500
Re2 0.250 0.250 0.250
Bi1 0.250 0.250 0.750
# DFT total energy = -8.4007 eV per atom
# Magnetization = 2.89 μB/f.u.

No. 7
# TaFeReBi PBE relaxed
data_TaFeReBi
_cell_length_a 6.459
_cell_length_b 6.459
_cell_length_c 6.459
_cell_angle_alpha 90.00
_cell_angle_beta 90.00
_cell_angle_gamma 90.00
_symmetry_space_group_name_H-M 'F -4 3 m'
_symmetry_Int_Tables_number 216
_symmetry_space_group_name_Hall 'F -4 2 3'
loop_
_atom_site_label
_atom_site_fract_x
_atom_site_fract_y
_atom_site_fract_z
Ta1 0.000 0.000 0.000
Fe1 0.250 0.250 0.750
Re1 0.250 0.250 0.250
Bi1 0.000 0.000 0.500
# Magnetization = 1.03 μB/f.u.
# Energy above the lowest structure with this stoichiometry = 0.000 eV per atom

No. 8
# FeReTcBi PBE relaxed
data_FeReTcBi
_cell_length_a 6.389
_cell_length_b 6.389
_cell_length_c 6.389
_cell_angle_alpha 90.00
_cell_angle_beta 90.00
_cell_angle_gamma 90.00
_symmetry_space_group_name_H-M 'F -4 3 m'
_symmetry_Int_Tables_number 216
_symmetry_space_group_name_Hall 'F -4 2 3'
loop_
_atom_site_label
_atom_site_fract_x
_atom_site_fract_y
_atom_site_fract_z
Fe1 0.000 0.000 0.000
Re1 0.250 0.250 0.250
Tc1 0.000 0.000 0.500
Bi1 0.250 0.250 0.750
# Magnetization = 3.01 μB/f.u.
# Energy above the lowest structure with this stoichiometry = 0.000 eV per atom